1.
Material: HoAl5
Method: DFT, GGA-PBE
State: optimized geometry

Output
calculated density: 4.39 g/cm³
SG: Immm

```
data_HoAl5
_chemical_formula_sum 'Ho1 Al5'
_cell_length_a 5.6882
_cell_length_b 5.6882
_cell_length_c 5.6882
_cell_angle_alpha 134.76
_cell_angle_beta 115.86
_cell_angle_gamma 81.93
_space_group_name_H-M_alt 'P 1'
_space_group_IT_number 1
_space_group_name_Hall 'P 1'
loop_
_atom_site_label
_atom_site_fract_x
_atom_site_fract_y
_atom_site_fract_z
_atom_site_occupancy
Ho1 0.0000 0.0000 0.0000 1
Al1 0.1036 0.3367 0.7669 1
Al2 0.4302 0.6633 0.7669 1
Al3 0.5000 0.0000 0.5000 1
Al4 0.5698 0.3367 0.2331 1
Al5 0.8964 0.6633 0.2331 1
```

=====

2.
Material: HoAl5
Method: DFT, GGA-PBE
State: optimized geometry

Output
calculated density: 4.50 g/cm³
SG: Cmmm

```
data_HoAl5
_chemical_formula_sum 'Ho1 Al5'
_cell_length_a 6.5394
_cell_length_b 6.5394
_cell_length_c 4.2240
_cell_angle_alpha 90.00
_cell_angle_beta 90.00
_cell_angle_gamma 142.28
_space_group_name_H-M_alt 'P 1'
_space_group_IT_number 1
_space_group_name_Hall 'P 1'
loop_
_atom_site_label
_atom_site_fract_x
_atom_site_fract_y
_atom_site_fract_z
_atom_site_occupancy
Ho1 0.0000 0.0000 0.0000 1
Al1 0.1736 0.8264 0.5000 1
Al2 0.3237 0.6763 0.0000 1
Al3 0.5000 0.5000 0.5000 1
Al4 0.6763 0.3237 0.0000 1
Al5 0.8264 0.1736 0.5000 1
```

=====

3.
Material: Ho13Al2
Method: DFT, GGA-PBE
State: optimized geometry

Output
calculated density: 8.27 g/cm³
SG: P-1

```
data_Ho13Al2
_chemical_formula_sum 'Ho13 Al2'
_cell_length_a 6.6090
_cell_length_b 8.4043
_cell_length_c 9.0274
_cell_angle_alpha 63.57
_cell_angle_beta 89.17
_cell_angle_gamma 80.09
_space_group_name_H-M_alt 'P 1'
_space_group_IT_number 1
_space_group_name_Hall 'P 1'
loop_
_atom_site_label
_atom_site_fract_x
_atom_site_fract_y
_atom_site_fract_z
_atom_site_occupancy
Ho1 0.0000 0.0000 0.0000 1
Ho2 0.0341 0.5000 0.7050 1
Ho3 0.2325 0.0123 0.5693 1
Ho4 0.2513 0.2072 0.1525 1
Ho5 0.2796 0.6514 0.9576 1
Ho6 0.4457 0.1705 0.8150 1
Ho7 0.4724 0.3991 0.3785 1
Ho8 0.5276 0.6009 0.6215 1
Ho9 0.5543 0.8295 0.1850 1
Ho10 0.7204 0.3486 0.0424 1
Ho11 0.7487 0.7928 0.8475 1
Ho12 0.7675 0.9877 0.4307 1
Ho13 0.9659 0.5000 0.2950 1
Al1 0.1617 0.7783 0.3629 1
Al2 0.8383 0.2217 0.6371 1
```

=====

4.
Material: HoAl4
Method: DFT, GGA-PBE
State: optimized geometry

Output
calculated density: 3.84 g/cm³
SG: P4/mbm

```
data_HoAl4
_chemical_formula_sum 'Ho4 Al16'
_cell_length_a 9.3265
_cell_length_b 9.3265
_cell_length_c 5.4239
_cell_angle_alpha 90.00
_cell_angle_beta 90.00
_cell_angle_gamma 90.00
_space_group_name_H-M_alt 'P 1'
_space_group_IT_number 1
_space_group_name_Hall 'P 1'
loop_
_atom_site_label
_atom_site_fract_x
_atom_site_fract_y
_atom_site_fract_z
_atom_site_occupancy
Ho1 0.1408 0.3592 0.0000 1
Ho2 0.3592 0.8592 0.0000 1
Ho3 0.6408 0.1408 0.0000 1
Ho4 0.8592 0.6408 0.0000 1
Al1 0.0000 0.0000 0.2219 1
Al2 0.0000 0.0000 0.7781 1
Al3 0.0999 0.5999 0.5000 1
Al4 0.1114 0.1974 0.5000 1
Al5 0.1974 0.8886 0.5000 1
Al6 0.3026 0.3886 0.5000 1
Al7 0.3886 0.6974 0.5000 1
Al8 0.4001 0.0999 0.5000 1
Al9 0.5000 0.5000 0.2219 1
Al10 0.5000 0.5000 0.7781 1
Al11 0.5999 0.9001 0.5000 1
Al12 0.6114 0.3026 0.5000 1
Al13 0.6974 0.6114 0.5000 1
Al14 0.8026 0.1114 0.5000 1
Al15 0.8886 0.8026 0.5000 1
Al16 0.9001 0.4001 0.5000 1
```

=====

5.
Material: HoAl5
Method: DFT, GGA-PBE
State: optimized geometry

Output
calculated density: 4.35 g/cm³
SG: P6/mmm

```
data_HoAl5
_chemical_formula_sum 'Ho1 Al5'
_cell_length_a 5.4996
_cell_length_b 5.4996
_cell_length_c 4.3699
_cell_angle_alpha 90.00
_cell_angle_beta 90.00
_cell_angle_gamma 120.00
_space_group_name_H-M_alt 'P 1'
_space_group_IT_number 1
_space_group_name_Hall 'P 1'
loop_
_atom_site_label
_atom_site_fract_x
_atom_site_fract_y
_atom_site_fract_z
_atom_site_occupancy
Ho1 0.0000 0.0000 0.0000 1
Al1 0.0000 0.5000 0.5000 1
Al2 0.3333 0.6667 0.0000 1
Al3 0.5000 0.0000 0.5000 1
Al4 0.5000 0.5000 0.5000 1
Al5 0.6667 0.3333 0.0000 1
```

=====

6.
Material: Ho3Al
Method: DFT, GGA-PBE
State: optimized geometry

Output
calculated density: 8.21 g/cm³
SG: P6_3/mmc

```
data_Ho3Al
_chemical_formula_sum 'Ho6 Al2'
_cell_length_a 6.7931
_cell_length_b 6.7931
_cell_length_c 5.2820
_cell_angle_alpha 90.00
_cell_angle_beta 90.00
_cell_angle_gamma 120.00
_space_group_name_H-M_alt 'P 1'
_space_group_IT_number 1
_space_group_name_Hall 'P 1'
loop_
_atom_site_label
_atom_site_fract_x
_atom_site_fract_y
_atom_site_fract_z
_atom_site_occupancy
Ho1 0.1746 0.3491 0.2500 1
Ho2 0.1746 0.8254 0.2500 1
Ho3 0.3491 0.1746 0.7500 1
Ho4 0.6509 0.8254 0.2500 1
Ho5 0.8254 0.1746 0.7500 1
Ho6 0.8254 0.6509 0.7500 1
Al1 0.3333 0.6667 0.7500 1
Al2 0.6667 0.3333 0.2500 1
```

=====

7.
Material: HoAl6
Method: DFT, GGA-PBE
State: optimized geometry

Output
calculated density: 3.00 g/cm³
SG: Im-3m

```
data_HoAl6
_chemical_formula_sum 'Ho1 Al6'
_cell_length_a 6.1702
_cell_length_b 6.1702
_cell_length_c 6.1702
_cell_angle_alpha 109.47
_cell_angle_beta 109.47
_cell_angle_gamma 109.47
_space_group_name_H-M_alt 'P 1'
_space_group_IT_number 1
_space_group_name_Hall 'P 1'
loop_
_atom_site_label
_atom_site_fract_x
_atom_site_fract_y
_atom_site_fract_z
_atom_site_occupancy
Ho1 0.0000 0.0000 0.0000 1
Al1 0.2500 0.5000 0.7500 1
Al2 0.2500 0.7500 0.5000 1
Al3 0.5000 0.2500 0.7500 1
Al4 0.5000 0.7500 0.2500 1
Al5 0.7500 0.2500 0.5000 1
Al6 0.7500 0.5000 0.2500 1
```

=====

8.
Material: Ho2Al3
Method: DFT, GGA-PBE
State: optimized geometry

Output
calculated density: 6.07 g/cm³
SG: Cmce

```
data_Ho2Al3
_chemical_formula_sum 'Ho4 Al6'
_cell_length_a 5.8183
_cell_length_b 5.8183
_cell_length_c 7.9382
_cell_angle_alpha 90.00
_cell_angle_beta 90.00
_cell_angle_gamma 123.18
_space_group_name_H-M_alt 'P 1'
_space_group_IT_number 1
_space_group_name_Hall 'P 1'
loop_
_atom_site_label
_atom_site_fract_x
_atom_site_fract_y
_atom_site_fract_z
_atom_site_occupancy
Ho1 0.1554 0.8446 0.9026 1
Ho2 0.3446 0.6554 0.4026 1
Ho3 0.6554 0.3446 0.5974 1
Ho4 0.8446 0.1554 0.0974 1
Al1 0.0000 0.0000 0.5000 1
Al2 0.1476 0.3524 0.7500 1
Al3 0.3524 0.1476 0.2500 1
Al4 0.5000 0.5000 0.0000 1
Al5 0.6476 0.8524 0.7500 1
Al6 0.8524 0.6476 0.2500 1
```

=====

9.
Material: HoAl4
Method: DFT, GGA-PBE
State: optimized geometry

Output
calculated density: 4.80 g/cm³
SG: Imma

```
data_HoAl4
_chemical_formula_sum 'Ho2 Al8'
_cell_length_a 7.8681
_cell_length_b 7.8681
_cell_length_c 7.8681
_cell_angle_alpha 147.53
_cell_angle_beta 133.34
_cell_angle_gamma 58.00
_space_group_name_H-M_alt 'P 1'
_space_group_IT_number 1
_space_group_name_Hall 'P 1'
loop_
_atom_site_label
_atom_site_fract_x
_atom_site_fract_y
_atom_site_fract_z
_atom_site_occupancy
Ho1 0.3615 0.1115 0.2500 1
Ho2 0.6385 0.8885 0.7500 1
Al1 0.0000 0.5000 0.5000 1
Al2 0.1388 0.8888 0.2500 1
Al3 0.1656 0.6976 0.4680 1
Al4 0.2703 0.3024 0.9680 1
Al5 0.5000 0.5000 0.0000 1
Al6 0.7297 0.6976 0.0320 1
Al7 0.8344 0.3024 0.5320 1
Al8 0.8612 0.1112 0.7500 1
```

=====

10.
Material: HoAl4
Method: DFT, GGA-PBE
State: optimized geometry

Output
calculated density: 2.65 g/cm³
SG: Pm-3m

```
data_HoAl4
_chemical_formula_sum 'Ho1 Al4'
_cell_length_a 5.5493
_cell_length_b 5.5493
_cell_length_c 5.5493
_cell_angle_alpha 90.00
_cell_angle_beta 90.00
_cell_angle_gamma 90.00
_space_group_name_H-M_alt 'P 1'
_space_group_IT_number 1
_space_group_name_Hall 'P 1'
loop_
_atom_site_label
_atom_site_fract_x
_atom_site_fract_y
_atom_site_fract_z
_atom_site_occupancy
Ho1 0.0000 0.0000 0.0000 1
Al1 0.0000 0.0000 0.5000 1
Al2 0.0000 0.5000 0.0000 1
Al3 0.5000 0.0000 0.0000 1
Al4 0.5000 0.5000 0.5000 1
```

=====

11.
Material: Ho3Al
Method: DFT, GGA-PBE
State: optimized geometry

Output
calculated density: 8.14 g/cm³
SG: Fm-3m

```
data_Ho3Al
_chemical_formula_sum 'Ho3 Al1'
_cell_length_a 5.3195
_cell_length_b 5.3195
_cell_length_c 5.3195
_cell_angle_alpha 60.00
_cell_angle_beta 60.00
_cell_angle_gamma 60.00
_space_group_name_H-M_alt 'P 1'
_space_group_IT_number 1
_space_group_name_Hall 'P 1'
loop_
_atom_site_label
_atom_site_fract_x
_atom_site_fract_y
_atom_site_fract_z
_atom_site_occupancy
Ho1 0.0000 0.0000 0.0000 1
Ho2 0.2500 0.2500 0.2500 1
Ho3 0.7500 0.7500 0.7500 1
Al1 0.5000 0.5000 0.5000 1
```

=====

no.,electronic total energy (eV for the cell shown)
1,-24.64
2,-24.69
3,-67.36
4,-74.71
5,-24.29
6,-36.55
7,-23.24
8,-44.90
9,-42.38
10,-13.50
11,-17.67